An optimized crystal structure of LiErS. Source: Alexandria via LeMat-Bulk, functional GGA-PBE.

Calculated volume in Å³ per atom: 22.97
Size of the total moment in μB per cell: 0.00
Formation energy without anion corrections in eV per atom: -0.921

a = 3.502 Å, b = 9.520 Å, c = 8.451 Å
α = 90.73°, β = 101.96°, γ = 90.00°
Fractional positions:
1 S 0.939 0.630 0.878
2 S 0.578 0.874 0.156
3 S 0.061 0.370 0.122
4 S 0.422 0.126 0.844
5 Li 0.265 0.628 0.529
6 Li 0.719 0.877 0.439
7 Li 0.735 0.372 0.471
8 Li 0.281 0.123 0.561
9 Er 0.584 0.599 0.168
10 Er 0.580 0.146 0.159
11 Er 0.420 0.854 0.841
12 Er 0.416 0.401 0.832

***

An optimized crystal structure of Ba2MgHgPd. Source: Alexandria via LeMat-Bulk, functional GGA-PBE.

Calculated volume in Å³ per atom: 38.69
Size of the total moment in μB per cell: 0.00
Formation enthalpy at 0 K in eV/atom: -0.363

a = 6.147 Å, b = 6.147 Å, c = 5.121 Å
α = 90.00°, β = 90.00°, γ = 90.00°
Fractional positions:
1 Pd 0.000 0.000 0.000
2 Ba 0.000 0.500 0.000
3 Ba 0.500 0.000 0.000
4 Mg 0.000 0.000 0.500
5 Hg 0.500 0.500 0.500

***

An optimized crystal structure of Ba2BeTc. Source: Alexandria via LeMat-Bulk, functional GGA-PBE.

Calculated volume in Å³ per atom: 35.19
Size of the total moment in μB per cell: 0.24
Formation enthalpy at 0 K in eV/atom: 0.567

a = 8.212 Å, b = 8.212 Å, c = 8.212 Å
α = 150.67°, β = 148.64°, γ = 43.47°
Site moments in Bohr magnetons follow the coordinates.
Fractional positions:
1 Ba 0.751 0.251 0.500  0.00
2 Ba 0.994 0.994 0.000  0.00
3 Be 0.405 0.405 0.000  -0.01
4 Tc 0.350 0.850 0.500  0.23

***

An optimized crystal structure of Ta2CoRe2Se8. Source: Alexandria via LeMat-Bulk, functional GGA-PBE.

Calculated volume in Å³ per atom: 20.80
Size of the total moment in μB per cell: 0.57
Formation energy without anion corrections in eV per atom: -0.343

a = 3.486 Å, b = 3.486 Å, c = 25.687 Å
α = 90.00°, β = 90.00°, γ = 120.00°
Site moments in Bohr magnetons follow the coordinates.
Fractional positions:
1 Se 0.667 0.333 0.933  0.00
2 Se 0.667 0.333 0.428  0.01
3 Se 0.333 0.667 0.686  0.00
4 Se 0.333 0.667 0.557  0.00
5 Se 0.667 0.333 0.812  0.00
6 Se 0.333 0.667 0.070  0.01
7 Se 0.667 0.333 0.306  0.02
8 Se 0.333 0.667 0.201  0.02
9 Co 0.000 0.000 0.257  0.50
10 Ta 0.000 0.000 0.621  0.00
11 Ta 0.000 0.000 0.135  0.02
12 Re 0.000 0.000 0.369  -0.06
13 Re 0.000 0.000 0.873  0.07

***

Q: Among the records above, which one has the highest calculated volume?
A: Ba2MgHgPd